#1
The following is a DFT calculation (PBE) of crystalline Pr4Si2Br3 at its relaxed geometry.

abc: 4.3058 4.3058 18.1135
angles: 90.05 89.95 120.00
Atoms (fractional coordinates):
Si  0.3328  0.6672  0.2026
Si  0.6672  0.3328  0.7974
Pr  0.3337  0.6663  0.8834
Pr  0.6663  0.3337  0.1166
Pr  0.9992  0.0008  0.2966
Pr  0.0008  0.9992  0.7034
Br  0.0000  0.0000  0.0000
Br  0.6656  0.3344  0.3965
Br  0.3344  0.6656  0.6035

Values from the calculation:
As for the total magnetization: 0.00 μB per atom. As for the theoretical density: 4.908 g/cm3. The space-group type is No. 12. The density of states at the Fermi level comes out at 0.307 states/eV/atom.

---

#2
The following is a DFT calculation (PBE) of crystalline Pr4Si2Br3 at its relaxed geometry.

abc: 5.9789 10.0892 10.0892
angles: 85.92 87.06 87.06
Atoms (fractional coordinates):
Br  0.9879  0.9531  0.2372
Br  0.2500  0.6407  0.3593
Br  0.0121  0.0469  0.7628
Br  0.4879  0.2372  0.9531
Br  0.5121  0.7628  0.0469
Br  0.7500  0.3593  0.6407
Pr  0.9532  0.2027  0.4029
Pr  0.5008  0.0855  0.6741
Pr  0.0468  0.7973  0.5971
Pr  0.0008  0.6741  0.0855
Pr  0.4992  0.9145  0.3259
Pr  0.4532  0.4029  0.2027
Pr  0.5468  0.5971  0.7973
Pr  0.9992  0.3259  0.9145
Si  0.4468  0.1827  0.4001
Si  0.0532  0.5999  0.8173
Si  0.5532  0.8173  0.5999
Si  0.9468  0.4001  0.1827

Values from the calculation:
As for the total magnetization: 0.00 μB per atom. As for the theoretical density: 4.714 g/cm3. The space-group type is No. 15. The density of states at the Fermi level comes out at 0.365 states/eV/atom.

---

It is #1 that is the most stable of them.